Material: SrCdCu2
Method: DFT, PBE
State: optimized geometry

Computed properties:
magnetization: 0.0 μB/f.u.
formation enthalpy at 0 K: 0.047 eV per atom
theoretical density: 6.367 g/cm³

Geometry as CIF:
```
data_SrCdCu2
_symmetry_space_group_name_H-M 'P 4/m m m'
_symmetry_Int_Tables_number 123
_symmetry_space_group_name_Hall '-P 4 2'
_cell_length_a 3.5248
_cell_length_b 3.5248
_cell_length_c 6.8669
_cell_angle_alpha 90.00
_cell_angle_beta 90.00
_cell_angle_gamma 90.00
loop_
_atom_site_label
_atom_site_type_symbol
_atom_site_fract_x
_atom_site_fract_y
_atom_site_fract_z
_atom_site_occupancy
Sr1 Sr 0.0000 0.0000 0.0000 1
Cd1 Cd 0.0000 0.0000 0.5000 1
Cu1 Cu 0.5000 0.5000 0.3114 1
```

Material: Sr3Cd9Cu2
Method: DFT, PBE
State: optimized geometry

Computed properties:
magnetization: 0.0 μB/f.u.
formation enthalpy at 0 K: -0.198 eV per atom
theoretical density: 6.523 g/cm³

Geometry as CIF:
```
data_Sr3Cd9Cu2
_symmetry_space_group_name_H-M 'I m m m'
_symmetry_Int_Tables_number 71
_symmetry_space_group_name_Hall '-I 2 2'
_cell_length_a 4.8285
_cell_length_b 10.5994
_cell_length_c 13.9445
_cell_angle_alpha 90.00
_cell_angle_beta 90.00
_cell_angle_gamma 90.00
loop_
_atom_site_label
_atom_site_type_symbol
_atom_site_fract_x
_atom_site_fract_y
_atom_site_fract_z
_atom_site_occupancy
Sr1 Sr 0.0000 0.0000 0.0000 1
Sr2 Sr 0.0000 0.0000 0.3138 1
Cd1 Cd 0.0000 0.2795 0.1184 1
Cd2 Cd 0.0000 0.3585 0.3324 1
Cd3 Cd 0.0000 0.5000 0.0000 1
Cu1 Cu 0.0000 0.2178 0.5000 1
```

Material: Sr2CdCu2
Method: DFT, PBE
State: optimized geometry

Computed properties:
magnetization: 0.0 μB/f.u.
formation enthalpy at 0 K: -0.150 eV per atom
theoretical density: 5.266 g/cm³

Geometry as CIF:
```
data_Sr2CdCu2
_symmetry_space_group_name_H-M 'C 1 2/c 1'
_symmetry_Int_Tables_number 15
_cell_length_a 10.6643
_cell_length_b 6.0800
_cell_length_c 8.3196
_cell_angle_alpha 90.00
_cell_angle_beta 104.12
_cell_angle_gamma 90.00
loop_
_symmetry_equiv_pos_as_xyz
'x,y,z'
'-x,-y,-z'
'-x,y,-z+1/2'
'x,-y,z+1/2'
'x+1/2,y+1/2,z'
'-x+1/2,-y+1/2,-z'
'-x+1/2,y+1/2,-z+1/2'
'x+1/2,-y+1/2,z+1/2'
loop_
_atom_site_label
_atom_site_type_symbol
_atom_site_fract_x
_atom_site_fract_y
_atom_site_fract_z
_atom_site_occupancy
Sr1 Sr 0.1464 0.1456 0.1445 1
Cd1 Cd 0.0000 0.3642 0.7500 1
Cu1 Cu 0.1470 0.3523 0.5004 1
```

> Among the records above, which one has the highest formation enthalpy at 0 K?

SrCdCu2

> Which value of magnetization does entry 1 give?

0.0 μB/f.u.